Compound: ScInPt3
Source: Alexandria via LeMat-Bulk
Functional: PBE
Structure: relaxed

Unit cell a=4.8560 b=4.8560 c=4.8560 alpha=90.00 beta=90.00 gamma=90.00
Sites, in units of the cell vectors:
Sc 0.0000 0.0000 0.0000
Pt 0.0000 0.5000 0.0000
Pt 0.0000 0.0000 0.5000
Pt 0.5000 0.0000 0.0000
In 0.5000 0.5000 0.5000

Summary:
DOS(E_F)	4.64	states/eV per cell
energy relative to the lowest polymorph listed for this composition	0.0	meV/atom
formation energy	380	meV per atom
density	10.804	g/cm³



Compound: ScInPt2
Source: Alexandria via LeMat-Bulk
Functional: PBE
Structure: relaxed

Unit cell a=7.3637 b=7.3637 c=5.9691 alpha=51.92 beta=51.92 gamma=90.00
Sites, in units of the cell vectors:
Sc 0.5000 0.5000 0.0000
Sc 0.2500 0.7500 0.5000
Pt 0.6149 0.1250 0.2500
Pt 0.1351 0.6250 0.2500
Pt 0.3750 0.3851 0.7500
Pt 0.8750 0.8649 0.7500
In 0.0000 0.0000 0.0000
In 0.7500 0.2500 0.5000

Summary:
DOS(E_F)	2.32	states/eV per cell
formation energy	-530	meV per atom
density	11.540	g/cm³



Compound: ScInPt
Source: Alexandria via LeMat-Bulk
Functional: PBE
Structure: relaxed

Unit cell a=7.6124 b=7.6124 c=3.5409 alpha=90.00 beta=90.00 gamma=120.00
Sites, in units of the cell vectors:
In 0.2734 0.0000 0.5000
In 0.0000 0.2734 0.5000
In 0.7266 0.7266 0.5000
Pt 0.0000 0.0000 0.0000
Pt 0.3333 0.6667 0.5000
Pt 0.6667 0.3333 0.5000
Sc 0.6028 0.0000 0.0000
Sc 0.0000 0.6028 0.0000
Sc 0.3972 0.3972 0.0000

Summary:
DOS(E_F)	7.04	states/eV per cell
formation energy	-912	meV per atom
density	9.948	g/cm³



Compound: Sc6InPt5
Source: Alexandria via LeMat-Bulk
Functional: PBE
Structure: relaxed

Unit cell a=4.7292 b=6.5776 c=7.5848 alpha=90.00 beta=108.47 gamma=90.00
Sites, in units of the cell vectors:
Sc 0.8298 0.7487 0.6537
Sc 0.8298 0.2513 0.6536
Sc 0.5000 0.2670 0.0000
Sc 0.5000 0.7330 0.0000
Sc 0.1702 0.7487 0.3464
Sc 0.1702 0.2513 0.3463
Pt 0.6604 0.5000 0.3370
Pt 0.3563 0.0000 0.7036
Pt 0.0000 0.5000 0.0000
Pt 0.6437 0.0000 0.2964
Pt 0.3396 0.5000 0.6630
In 0.0000 0.0000 0.0000

Summary:
DOS(E_F)	6.72	states/eV per cell
formation energy	-1093	meV per atom
density	10.091	g/cm³